20
Lattice="4.993 0.000 0.000 0.000 4.993 0.000 0.000 0.000 24.957" Properties=species:S:1:pos:R:3 comment="PrY4Er15 PBE-GGA relaxed" delta_e_f_mev_per_atom=26 e_tot_ev_per_cell=-98.566 n_ef_per_ev_cell=27.2 m_tot_mub_per_atom=0.00 sg="P4/mmm (123)" pbc="T T T"
Pr 0.000 0.000 0.000
Y 0.000 0.000 5.010
Y 0.000 0.000 9.993
Y 0.000 0.000 14.964
Y 0.000 0.000 19.947
Er 2.497 2.497 0.000
Er 2.497 2.497 5.025
Er 2.497 2.497 9.989
Er 2.497 2.497 14.968
Er 2.497 2.497 19.932
Er 2.497 0.000 2.528
Er 2.497 0.000 7.503
Er 2.497 0.000 12.479
Er 2.497 0.000 17.454
Er 2.497 0.000 22.429
Er 0.000 2.497 2.528
Er 0.000 2.497 7.503
Er 0.000 2.497 12.479
Er 0.000 2.497 17.454
Er 0.000 2.497 22.429